GaTe3Cl: optimized geometry, PBE.

Properties
Relative energy among the computed polymorphs in meV per atom: 586
Raw total energy in eV/cell: -11.6
Space group: Pm-3m
M_tot in μB/atom: 0.000
Formation energy (no corrections) in meV per atom: 541

Cell: 5.464 5.464 5.464 Å, 90.00 90.00 90.00°
Positions (direct):
Cl  0.000  0.000  0.000
Ga  0.500  0.500  0.500
Te  0.500  0.000  0.000
Te  0.000  0.000  0.500
Te  0.000  0.500  0.000